Record 1
This record from Alexandria via LeMat-Bulk describes BaOsRh2 after structural relaxation. The functional is PBE.

Results
crystal system: orthorhombic

CIF file:
```
data_BaOsRh2
_symmetry_space_group_name_H-M 'C m m m'
_symmetry_Int_Tables_number 65
_symmetry_space_group_name_Hall '-C 2 2'
_cell_length_a 6.273
_cell_length_b 8.088
_cell_length_c 2.939
_cell_angle_alpha 90.00
_cell_angle_beta 90.00
_cell_angle_gamma 90.00
loop_
_atom_site_label
_atom_site_type_symbol
_atom_site_fract_x
_atom_site_fract_y
_atom_site_fract_z
_atom_site_occupancy
Ba1 Ba 0.000 0.000 0.000 1
Os1 Os 0.000 0.500 0.000 1
Rh1 Rh 0.250 0.250 0.500 1
```

Record 2
This record from Alexandria via LeMat-Bulk describes BaOsRh2 after structural relaxation. The functional is PBE.

Results
crystal system: tetragonal

CIF file:
```
data_BaOsRh2
_symmetry_space_group_name_H-M 'P 4/m m m'
_symmetry_Int_Tables_number 123
_symmetry_space_group_name_Hall '-P 4 2'
_cell_length_a 4.414
_cell_length_b 4.414
_cell_length_c 3.962
_cell_angle_alpha 90.00
_cell_angle_beta 90.00
_cell_angle_gamma 90.00
loop_
_atom_site_label
_atom_site_type_symbol
_atom_site_fract_x
_atom_site_fract_y
_atom_site_fract_z
_atom_site_occupancy
Ba1 Ba 0.000 0.000 0.000 1
Os1 Os 0.500 0.500 0.000 1
Rh1 Rh 0.000 0.500 0.500 1
```

Record 3
This record from Alexandria via LeMat-Bulk describes BaOsRh2 after structural relaxation. The functional is PBE.

Results
crystal system: orthorhombic

CIF file:
```
data_BaOsRh2
_symmetry_space_group_name_H-M 'P m m m'
_symmetry_Int_Tables_number 47
_cell_length_a 2.908
_cell_length_b 3.632
_cell_length_c 7.508
_cell_angle_alpha 90.00
_cell_angle_beta 90.00
_cell_angle_gamma 90.00
loop_
_symmetry_equiv_pos_as_xyz
'x,y,z'
'-x,-y,-z'
'-x,-y,z'
'x,y,-z'
'x,-y,-z'
'-x,y,z'
'-x,y,-z'
'x,-y,z'
loop_
_atom_site_label
_atom_site_type_symbol
_atom_site_fract_x
_atom_site_fract_y
_atom_site_fract_z
_atom_site_occupancy
Ba1 Ba 0.000 0.000 0.000 1
Os1 Os 0.000 0.000 0.500 1
Rh1 Rh 0.500 0.500 0.324 1
```

Record 4
This record from Alexandria via LeMat-Bulk describes BaOsRh2 after structural relaxation. The functional is PBE.

Results
crystal system: trigonal

CIF file:
```
data_BaOsRh2
_symmetry_space_group_name_H-M 'R 3 m'
_symmetry_Int_Tables_number 160
_symmetry_space_group_name_Hall 'R 3 -2"'
_cell_length_a 4.4368
_cell_length_b 4.4368
_cell_length_c 17.2185
_cell_angle_alpha 90.00
_cell_angle_beta 90.00
_cell_angle_gamma 120.00
loop_
_atom_site_label
_atom_site_type_symbol
_atom_site_fract_x
_atom_site_fract_y
_atom_site_fract_z
_atom_site_occupancy
Ba1 Ba 0.0000 0.0000 0.0000 1
Os1 Os 0.0000 0.0000 0.8171 1
Rh1 Rh 0.0000 0.0000 0.1834 1
Rh2 Rh 0.0000 0.0000 0.4892 1
```

Record 5
This record from Alexandria via LeMat-Bulk describes BaOsRh2 after structural relaxation. The functional is PBE.

Results
crystal system: trigonal

CIF file:
```
data_BaOsRh2
_symmetry_space_group_name_H-M 'R -3 m'
_symmetry_Int_Tables_number 166
_symmetry_space_group_name_Hall '-R 3 2"'
_cell_length_a 4.4351
_cell_length_b 4.4351
_cell_length_c 17.0424
_cell_angle_alpha 90.00
_cell_angle_beta 90.00
_cell_angle_gamma 120.00
loop_
_atom_site_label
_atom_site_type_symbol
_atom_site_fract_x
_atom_site_fract_y
_atom_site_fract_z
_atom_site_occupancy
Ba1 Ba 0.0000 0.0000 0.0000 1
Os1 Os 0.0000 0.0000 0.5000 1
Rh1 Rh 0.0000 0.0000 0.1853 1
```

Record 6
This record from Alexandria via LeMat-Bulk describes Ba2OsRh after structural relaxation. The functional is PBE.

Results
crystal system: orthorhombic

CIF file:
```
data_Ba2OsRh
_symmetry_space_group_name_H-M 'P m m m'
_symmetry_Int_Tables_number 47
_cell_length_a 3.437
_cell_length_b 4.164
_cell_length_c 7.505
_cell_angle_alpha 90.00
_cell_angle_beta 90.00
_cell_angle_gamma 90.00
loop_
_symmetry_equiv_pos_as_xyz
'x,y,z'
'-x,-y,-z'
'-x,-y,z'
'x,y,-z'
'x,-y,-z'
'-x,y,z'
'-x,y,-z'
'x,-y,z'
loop_
_atom_site_label
_atom_site_type_symbol
_atom_site_fract_x
_atom_site_fract_y
_atom_site_fract_z
_atom_site_occupancy
Ba1 Ba 0.000 0.000 0.245 1
Os1 Os 0.500 0.500 0.500 1
Rh1 Rh 0.500 0.500 0.000 1
```

Record 7
This record from Alexandria via LeMat-Bulk describes Ba2OsRh after structural relaxation. The functional is PBE.

Results
crystal system: orthorhombic

CIF file:
```
data_Ba2OsRh
_symmetry_space_group_name_H-M 'I m m 2'
_symmetry_Int_Tables_number 44
_cell_length_a 4.367
_cell_length_b 4.780
_cell_length_c 13.715
_cell_angle_alpha 90.00
_cell_angle_beta 90.00
_cell_angle_gamma 90.00
loop_
_symmetry_equiv_pos_as_xyz
'x,y,z'
'-x,-y,z'
'-x,y,z'
'x,-y,z'
'x+1/2,y+1/2,z+1/2'
'-x+1/2,-y+1/2,z+1/2'
'-x+1/2,y+1/2,z+1/2'
'x+1/2,-y+1/2,z+1/2'
loop_
_atom_site_label
_atom_site_type_symbol
_atom_site_fract_x
_atom_site_fract_y
_atom_site_fract_z
_atom_site_occupancy
Ba1 Ba 0.000 0.000 0.000 1
Ba2 Ba 0.000 0.500 0.249 1
Os1 Os 0.000 0.500 0.843 1
Rh1 Rh 0.000 0.000 0.412 1
```

Record 8
This record from Alexandria via LeMat-Bulk describes BaOsRh2 after structural relaxation. The functional is PBE.

Results
crystal system: monoclinic

CIF file:
```
data_BaOsRh2
_symmetry_space_group_name_H-M 'P 1 m 1'
_symmetry_Int_Tables_number 6
_cell_length_a 2.930
_cell_length_b 4.305
_cell_length_c 6.633
_cell_angle_alpha 90.00
_cell_angle_beta 101.68
_cell_angle_gamma 90.00
loop_
_symmetry_equiv_pos_as_xyz
'x,y,z'
'x,-y,z'
loop_
_atom_site_label
_atom_site_type_symbol
_atom_site_fract_x
_atom_site_fract_y
_atom_site_fract_z
_atom_site_occupancy
Ba1 Ba 0.000 0.000 0.000 1
Os1 Os 0.710 0.500 0.377 1
Rh1 Rh 0.266 0.000 0.481 1
Rh2 Rh 0.362 0.500 0.711 1
```

Record 9
This record from Alexandria via LeMat-Bulk describes BaOsRh2 after structural relaxation. The functional is PBE.

Results
crystal system: cubic

CIF file:
```
data_BaOsRh2
_symmetry_space_group_name_H-M 'F m -3 m'
_symmetry_Int_Tables_number 225
_symmetry_space_group_name_Hall '-F 4 2 3'
_cell_length_a 6.790
_cell_length_b 6.790
_cell_length_c 6.790
_cell_angle_alpha 90.00
_cell_angle_beta 90.00
_cell_angle_gamma 90.00
loop_
_atom_site_label
_atom_site_type_symbol
_atom_site_fract_x
_atom_site_fract_y
_atom_site_fract_z
_atom_site_occupancy
Ba1 Ba 0.000 0.000 0.000 1
Os1 Os 0.000 0.000 0.500 1
Rh1 Rh 0.250 0.250 0.250 1
```

Record 10
This record from Alexandria via LeMat-Bulk describes Ba2OsRh after structural relaxation. The functional is PBE.

Results
crystal system: orthorhombic

CIF file:
```
data_Ba2OsRh
_symmetry_space_group_name_H-M 'P m m 2'
_symmetry_Int_Tables_number 25
_cell_length_a 3.497
_cell_length_b 3.686
_cell_length_c 9.497
_cell_angle_alpha 90.00
_cell_angle_beta 90.00
_cell_angle_gamma 90.00
loop_
_symmetry_equiv_pos_as_xyz
'x,y,z'
'-x,-y,z'
'-x,y,z'
'x,-y,z'
loop_
_atom_site_label
_atom_site_type_symbol
_atom_site_fract_x
_atom_site_fract_y
_atom_site_fract_z
_atom_site_occupancy
Ba1 Ba 0.000 0.000 0.000 1
Ba2 Ba 0.500 0.500 0.432 1
Os1 Os 0.000 0.000 0.683 1
Rh1 Rh 0.500 0.500 0.752 1
```

Record 11
This record from Alexandria via LeMat-Bulk describes Ba2OsRh after structural relaxation. The functional is PBE.

Results
crystal system: cubic

CIF file:
```
data_Ba2OsRh
_symmetry_space_group_name_H-M 'F m -3 m'
_symmetry_Int_Tables_number 225
_symmetry_space_group_name_Hall '-F 4 2 3'
_cell_length_a 7.555
_cell_length_b 7.555
_cell_length_c 7.555
_cell_angle_alpha 90.00
_cell_angle_beta 90.00
_cell_angle_gamma 90.00
loop_
_atom_site_label
_atom_site_type_symbol
_atom_site_fract_x
_atom_site_fract_y
_atom_site_fract_z
_atom_site_occupancy
Ba1 Ba 0.250 0.250 0.250 1
Os1 Os 0.000 0.000 0.000 1
Rh1 Rh 0.000 0.000 0.500 1
```

Record 12
This record from Alexandria via LeMat-Bulk describes Ba2OsRh after structural relaxation. The functional is PBE.

Results
crystal system: tetragonal

CIF file:
```
data_Ba2OsRh
_symmetry_space_group_name_H-M 'I -4 m 2'
_symmetry_Int_Tables_number 119
_symmetry_space_group_name_Hall 'I -4 -2'
_cell_length_a 4.488
_cell_length_b 4.488
_cell_length_c 10.418
_cell_angle_alpha 90.00
_cell_angle_beta 90.00
_cell_angle_gamma 90.00
loop_
_atom_site_label
_atom_site_type_symbol
_atom_site_fract_x
_atom_site_fract_y
_atom_site_fract_z
_atom_site_occupancy
Ba1 Ba 0.000 0.000 0.000 1
Ba2 Ba 0.000 0.500 0.250 1
Os1 Os 0.000 0.500 0.750 1
Rh1 Rh 0.000 0.000 0.500 1
```

Energy of formation from the pure elements values, unit meV per atom, following the record order: 786; 976; 390; 212; 178; 827; 295; 533; 909; 484; 846; 917.